Record 1
VASP calculation (PBE-GGA) on a relaxed structure of TbI3N.

Computed properties:
Volume (Å³/atom): 44.81
E_form (uncorrected) (eV per atom): -0.057
Magnetic moment (μB per formula unit): 3.0

abc: 6.074 10.641 8.829
angles: 99.94 107.31 55.34
Each line ends with the local moment (μB).
Positions (direct):
Tb 0.933 0.400 0.525  0.01
Tb 0.435 0.900 0.530  0.01
I 0.078 0.146 0.274  0.02
I 0.290 0.153 0.781  0.02
I 0.430 0.400 0.519  0.02
I 0.574 0.651 0.274  0.02
I 0.938 0.900 0.536  0.02
I 0.794 0.649 0.781  0.02
N 0.595 0.404 0.927  1.90
N 0.773 0.896 0.127  1.90

***

Record 2
VASP calculation (PBE-GGA) on a relaxed structure of AlPtW2.

Computed properties:
Volume (Å³/atom): 15.48
Magnetic moment (μB per formula unit): 0.0
DFT total energy (eV/f.u.): -36.1

abc: 2.751 2.751 8.181
angles: 90.00 90.00 89.97
Positions (direct):
W 0.000 0.000 0.004
W 0.000 0.000 0.496
Pt 0.500 0.500 0.750
Al 0.500 0.500 0.250

***

Record 3
VASP calculation (PBE-GGA) on a relaxed structure of Rb3SnF7.

Computed properties:
Volume (Å³/atom): 20.05
E_form (uncorrected) (eV per atom): -2.701
Magnetic moment (μB per formula unit): 0.0

abc: 6.368 6.368 6.931
angles: 63.53 63.53 87.85
Positions (direct):
Rb 0.757 0.234 0.488
Rb 0.499 0.499 0.934
Rb 0.234 0.757 0.488
Sn 0.957 0.957 0.038
F 0.121 0.121 0.143
F 0.668 0.114 0.171
F 0.996 0.281 0.741
F 0.114 0.668 0.171
F 0.701 0.701 0.409
F 0.281 0.996 0.741
F 0.798 0.798 0.927

***

Record 4
VASP calculation (PBE-GGA) on a relaxed structure of Li2Ac2LaTl2.

Computed properties:
Volume (Å³/atom): 31.02
Magnetic moment (μB per formula unit): 0.0
DFT total energy (eV/f.u.): -23.2

abc: 5.047 5.047 10.263
angles: 75.77 75.77 60.00
Positions (direct):
Li 0.612 0.612 0.164
Li 0.388 0.388 0.836
Ac 0.124 0.124 0.627
Ac 0.876 0.876 0.373
La 0.000 0.000 0.000
Tl 0.730 0.730 0.809
Tl 0.270 0.270 0.191

***

- volume of number 4 (Li2Ac2LaTl2)?
  31.02 Å³/atom

***

- Number 4 is which compound?
  Li2Ac2LaTl2

***

- Among the records above, which one has the lowest volume?
  AlPtW2